(1)
This record from Alexandria describes a geometry-optimized CdS2BrN structure. The functional is PBE-GGA.

Output
Density of states at the Fermi level   0.8044 states/eV/atom
E_tot   -2.463 eV/atom
Offset from the most stable computed form   38 meV/atom
E_form (uncorrected)   132.22 kJ/mol of atoms
Mass density   3.7 g/cm3

a b c (Å): 5.2825 5.2825 4.3754
angles (deg): 90.00 90.00 90.00
Sites, in units of the cell vectors:
Cd 0.0000 0.0000 0.0000
S 0.0000 0.5000 0.0000
S 0.5000 0.0000 0.0000
Br 0.5000 0.5000 0.5000
N 0.0000 0.0000 0.5000

(2)
This record from Alexandria describes a geometry-optimized ZrSi2Pt structure. The functional is PBE-GGA.

Output
Density of states at the Fermi level   0.4213 states/eV/atom
E_tot   -6.968 eV/atom
E_form (uncorrected)   -58.81 kJ/mol of atoms
Mass density   8.9 g/cm3

a b c (Å): 3.6845 3.9537 4.3906
angles (deg): 90.00 90.00 90.00
Sites, in units of the cell vectors:
Zr 0.0000 0.0000 0.0000
Si 0.5000 0.0000 0.5000
Si 0.5000 0.5000 0.0000
Pt 0.0000 0.5000 0.5000

(3)
This record from Alexandria describes a geometry-optimized Pu2Ni2Ge structure. The functional is PBE-GGA.

Output
Density of states at the Fermi level   3.2872 states/eV/atom
E_tot   -9.337 eV/atom
Formation energy from the elements   -0.368 eV per atom
Mass density   12.4 g/cm3

a b c (Å): 5.3755 5.3755 5.3755
angles (deg): 134.70 122.10 76.42
Sites, in units of the cell vectors:
Pu 0.2010 0.2010 0.0000
Pu 0.7990 0.7990 0.0000
Ni 0.2347 0.5000 0.7347
Ni 0.7653 0.5000 0.2653
Ge 0.5000 0.0000 0.5000

(4)
This record from Alexandria describes a geometry-optimized Y2MnAl structure. The functional is PBE-GGA.

Output
Density of states at the Fermi level   1.1082 states/eV/atom
E_tot   -6.294 eV/atom
Formation energy from the elements   0.166 eV per atom
Mass density   4.4 g/cm3

a b c (Å): 9.6836 9.6836 9.6836
angles (deg): 20.52 20.52 20.52
Sites, in units of the cell vectors:
Y 0.2478 0.2478 0.2478
Y 0.7522 0.7522 0.7522
Mn 0.5000 0.5000 0.5000
Al 0.0000 0.0000 0.0000

(5)
This record from Alexandria describes a geometry-optimized PaVZn structure. The functional is PBE-GGA.

Output
Density of states at the Fermi level   1.4027 states/eV/atom
E_tot   -6.570 eV/atom
Formation energy from the elements   0.060 eV per atom
Offset from the most stable computed form   0 meV/atom
Mass density   10.5 g/cm3

a b c (Å): 3.0566 3.0566 11.7111
angles (deg): 90.00 90.00 90.00
Sites, in units of the cell vectors:
Pa 0.2500 0.2500 0.2339
Pa 0.7500 0.7500 0.7661
V 0.2500 0.2500 0.9428
V 0.7500 0.7500 0.0572
Zn 0.2500 0.2500 0.5668
Zn 0.7500 0.7500 0.4332

(6)
This record from Alexandria describes a geometry-optimized Ac8NdSm6 structure. The functional is PBE-GGA.

Output
Density of states at the Fermi level   1.5910 states/eV/atom
E_tot   -4.160 eV/atom
Formation energy from the elements   0.236 eV per atom
Mass density   7.5 g/cm3

a b c (Å): 9.2399 9.2399 9.2399
angles (deg): 66.52 66.52 66.52
Sites, in units of the cell vectors:
Ac 0.0878 0.6789 0.3614
Ac 0.2307 0.2307 0.2307
Ac 0.3211 0.6386 0.9122
Ac 0.3614 0.0878 0.6789
Ac 0.6386 0.9122 0.3211
Ac 0.6789 0.3614 0.0878
Ac 0.7693 0.7693 0.7693
Ac 0.9122 0.3211 0.6386
Nd 0.5000 0.5000 0.5000
Sm 0.1287 0.4402 0.8197
Sm 0.1803 0.8713 0.5598
Sm 0.4402 0.8197 0.1287
Sm 0.5598 0.1803 0.8713
Sm 0.8197 0.1287 0.4402
Sm 0.8713 0.5598 0.1803

(7)
This record from Alexandria describes a geometry-optimized YHoZn3 structure. The functional is PBE-GGA.

Output
Density of states at the Fermi level   0.8991 states/eV/atom
E_tot   -3.323 eV/atom
Formation energy from the elements   -0.351 eV per atom
Mass density   7.0 g/cm3

a b c (Å): 13.4938 13.4938 4.4600
angles (deg): 90.00 90.00 164.65
Sites, in units of the cell vectors:
Y 0.0729 0.9271 0.7500
Y 0.9271 0.0729 0.2500
Ho 0.2091 0.7909 0.2500
Ho 0.7909 0.2091 0.7500
Zn 0.3284 0.6716 0.2500
Zn 0.3814 0.6186 0.7500
Zn 0.4767 0.5233 0.7500
Zn 0.5233 0.4767 0.2500
Zn 0.6186 0.3814 0.2500
Zn 0.6716 0.3284 0.7500

(8)
This record from Alexandria describes a geometry-optimized PrTiH structure. The functional is PBE-GGA.

Output
Density of states at the Fermi level   1.0757 states/eV/atom
E_tot   -5.205 eV/atom
Mass density   6.0 g/cm3

a b c (Å): 11.3592 3.2636 3.2636
angles (deg): 60.06 90.00 90.00
Sites, in units of the cell vectors:
Pr 0.1534 0.0000 0.0000
Pr 0.8466 0.0000 0.0000
Ti 0.3869 0.6645 0.6645
Ti 0.6131 0.6645 0.6645
H 0.0000 0.6668 0.6668
H 0.5000 0.9973 0.9973

> Which formula does entry 2 have?

ZrSi2Pt

> Look up the mass density of the second one.

8.9 g/cm3

> Number 4 is which compound?

Y2MnAl

Copy entry 3 word for word.
This record from Alexandria describes a geometry-optimized Pu2Ni2Ge structure. The functional is PBE-GGA.

Output
Density of states at the Fermi level   3.2872 states/eV/atom
E_tot   -9.337 eV/atom
Formation energy from the elements   -0.368 eV per atom
Mass density   12.4 g/cm3

a b c (Å): 5.3755 5.3755 5.3755
angles (deg): 134.70 122.10 76.42
Sites, in units of the cell vectors:
Pu 0.2010 0.2010 0.0000
Pu 0.7990 0.7990 0.0000
Ni 0.2347 0.5000 0.7347
Ni 0.7653 0.5000 0.2653
Ge 0.5000 0.0000 0.5000